A plane-wave DFT calculation with PBE-GGA was carried out for crystalline GdGa2Cu at its relaxed geometry.

Output
ΔE_f (eV per formula unit): -1.32

Structure (POSCAR):
```
GdGa2Cu
1.0
4.307 0.000 0.000
0.000 4.203 0.000
0.000 0.000 4.203
Gd Cu Ga
1 1 2
direct
0.500 0.500 0.500
0.500 0.000 0.000
0.000 0.000 0.500
0.000 0.500 0.000
```

***

A plane-wave DFT calculation with PBE-GGA was carried out for crystalline GdGa2Cu at its relaxed geometry.

Output
ΔE_f (eV per formula unit): -1.89

Structure (POSCAR):
```
GdGa2Cu
1.0
-3.681 -0.515 -1.865
-0.697 -3.374 -2.330
-3.227 -3.823 2.789
Gd Cu Ga
1 1 2
direct
0.000 0.000 0.000
0.500 0.500 0.500
0.786 0.786 0.642
0.214 0.214 0.358
```

***

A plane-wave DFT calculation with PBE-GGA was carried out for crystalline GdGa2Cu at its relaxed geometry.

Output
ΔE_f (eV per formula unit): -1.25

Structure (POSCAR):
```
GdGa2Cu
1.0
3.267 0.000 0.000
0.000 3.267 0.000
0.000 0.000 6.916
Gd Cu Ga
1 1 2
direct
0.500 0.500 0.500
0.500 0.500 0.000
0.000 0.000 0.804
0.000 0.000 0.196
```

***

A plane-wave DFT calculation with PBE-GGA was carried out for crystalline GdInGaCu at its relaxed geometry.

Output
ΔE_f (eV per formula unit): -1.25

Structure (POSCAR):
```
GdInGaCu
1.0
4.864 0.000 0.000
2.432 4.213 0.000
2.432 1.404 3.972
Gd Cu Ga In
1 1 1 1
direct
0.750 0.750 0.750
0.500 0.500 0.500
0.000 0.000 0.000
0.250 0.250 0.250
```

***

A plane-wave DFT calculation with PBE-GGA was carried out for crystalline LaGdGaCu at its relaxed geometry.

Output
ΔE_f (eV per formula unit): -1.46

Structure (POSCAR):
```
LaGdGaCu
1.0
5.172 0.000 0.000
2.586 4.479 0.000
2.586 1.493 4.223
Gd Cu Ga La
1 1 1 1
direct
0.500 0.500 0.500
0.250 0.250 0.250
0.750 0.750 0.750
0.000 0.000 0.000
```

***

A plane-wave DFT calculation with PBE-GGA was carried out for crystalline LiGdGaCu at its relaxed geometry.

Output
ΔE_f (eV per formula unit): -1.40

Structure (POSCAR):
```
LiGdGaCu
1.0
4.608 0.000 0.000
2.304 3.991 0.000
2.304 1.330 3.763
Gd Cu Ga Li
1 1 1 1
direct
0.000 0.000 0.000
0.750 0.750 0.750
0.500 0.500 0.500
0.250 0.250 0.250
```